No. 1
GGA-PBE Pm4ZnCd, relaxed; ΔE to the lowest computed polymorph = 148 kJ/mol of formula units
1.0
5.116 0.000 -0.002
0.000 5.116 -0.002
0.004 0.005 7.449
Pm Zn Cd
4 1 1
Direct
0.501 0.997 0.262
0.501 0.997 0.734
0.001 0.497 0.734
0.001 0.497 0.262
0.001 0.997 0.498
0.501 0.497 0.998

No. 2
Computed, not measured: an optimized crystal structure of Pm2ZnCd3 at the GGA-PBE level of DFT.

Structure (POSCAR):
```
Pm2ZnCd3
1.0
-1.988 -5.592 -1.105
5.882 0.410 -1.297
-0.009 0.309 9.268
Pm Zn Cd
4 2 6
Direct
0.250 0.750 0.500
0.751 0.751 0.000
0.750 0.250 0.500
0.249 0.249 0.000
0.667 0.667 0.334
0.333 0.333 0.666
0.340 0.830 0.170
0.170 0.660 0.830
0.660 0.170 0.830
0.830 0.340 0.170
0.170 0.170 0.340
0.830 0.830 0.660
```

No. 3
GGA-PBE PmZn2Cd, relaxed; ΔE to the lowest computed polymorph = 0 kJ/mol of formula units
1.0
4.885 0.000 0.000
2.443 4.231 0.000
2.443 1.410 3.989
Zn Cd Pm
2 1 1
Direct
0.750 0.750 0.750
0.250 0.250 0.250
0.500 0.500 0.500
0.000 0.000 0.000

No. 4
GGA-PBE Pm2ZnCd2, relaxed; ΔE to the lowest computed polymorph = 0 kJ/mol of formula units
1.0
4.772 0.000 0.000
2.386 5.496 -0.667
2.386 -0.331 9.967
Pm Zn Cd
4 2 4
Direct
0.694 0.260 0.352
0.911 0.273 0.906
0.306 0.740 0.648
0.089 0.727 0.094
0.592 0.144 0.672
0.408 0.856 0.328
0.055 0.306 0.583
0.647 0.837 0.869
0.945 0.694 0.417
0.353 0.163 0.131

No. 5
Computed, not measured: an optimized crystal structure of PmZrZnCd at the GGA-PBE level of DFT.

Structure (POSCAR):
```
PmZrZnCd
1.0
5.084 0.000 0.000
2.542 4.403 0.000
2.542 1.468 4.151
Zn Cd Zr Pm
1 1 1 1
Direct
0.250 0.250 0.250
0.750 0.750 0.750
0.000 0.000 0.000
0.500 0.500 0.500
```

No. 6
Computed, not measured: an optimized crystal structure of Pm4ZrCd5 at the GGA-PBE level of DFT.

Structure (POSCAR):
```
Pm4ZrCd5
1.0
3.749 0.000 0.000
0.000 3.749 0.000
0.000 0.000 19.034
Pm Zr Cd
4 1 5
Direct
0.000 0.000 0.188
0.000 0.000 0.396
0.000 0.000 0.604
0.000 0.000 0.812
0.000 0.000 0.000
0.500 0.500 0.084
0.500 0.500 0.292
0.500 0.500 0.500
0.500 0.500 0.708
0.500 0.500 0.916
```

No. 7
Computed, not measured: an optimized crystal structure of PmZrCd6 at the GGA-PBE level of DFT.

Structure (POSCAR):
```
PmZrCd6
1.0
4.627 0.000 0.000
0.000 4.627 0.000
0.000 0.000 8.771
Pm Zr Cd
1 1 6
Direct
0.000 0.000 0.000
0.000 0.000 0.500
0.500 0.500 0.000
0.500 0.500 0.500
0.500 0.000 0.264
0.500 0.000 0.736
0.000 0.500 0.264
0.000 0.500 0.736
```

No. 8
GGA-PBE PmZr2Cd, relaxed; ΔE to the lowest computed polymorph = 0 kJ/mol of formula units
1.0
-4.550 0.513 -0.631
-0.367 -4.479 -0.993
-0.721 -0.928 4.450
Cd Zr Pm
1 2 1
Direct
0.500 0.000 0.000
0.000 0.000 0.500
0.000 0.500 0.000
0.500 0.500 0.500

No. 9
Computed, not measured: an optimized crystal structure of Pm2ZrCd6 at the GGA-PBE level of DFT.

Structure (POSCAR):
```
Pm2ZrCd6
1.0
3.293 0.000 0.001
0.002 7.537 4.334
0.000 0.015 8.695
Pm Zr Cd
2 1 6
Direct
0.000 0.333 0.333
0.000 0.667 0.667
0.000 0.000 0.000
0.499 0.674 0.000
0.501 0.000 0.326
0.501 0.326 0.000
0.500 0.674 0.326
0.499 0.000 0.674
0.500 0.326 0.674
```

No. 10
Computed, not measured: an optimized crystal structure of Pm5ZrCd4 at the GGA-PBE level of DFT.

Structure (POSCAR):
```
Pm5ZrCd4
1.0
3.660 0.000 0.000
0.000 3.660 0.000
0.000 0.000 21.059
Pm Zr Cd
5 1 4
Direct
0.500 0.500 0.106
0.500 0.500 0.306
0.500 0.500 0.500
0.500 0.500 0.694
0.500 0.500 0.894
0.000 0.000 0.000
0.000 0.000 0.207
0.000 0.000 0.403
0.000 0.000 0.597
0.000 0.000 0.793
```

No. 11
GGA-PBE PmZrCd2, relaxed; ΔE to the lowest computed polymorph = 16 kJ/mol of formula units
1.0
-3.323 -1.733 -3.607
1.584 -0.610 -4.917
0.566 -4.778 -1.976
Cd Zr Pm
2 1 1
Direct
0.250 0.250 0.250
0.750 0.750 0.750
0.500 0.500 0.500
0.000 0.000 0.000

No. 12
GGA-PBE PmZrCd4, relaxed; ΔE to the lowest computed polymorph = 0 kJ/mol of formula units
1.0
-1.856 -2.137 4.085
-1.245 -1.725 -4.491
5.138 -4.129 0.172
Pm Zr Cd
1 1 4
Direct
0.004 0.499 0.498
0.004 0.499 0.998
0.670 0.832 0.233
0.338 0.167 0.764
0.671 0.834 0.764
0.337 0.165 0.233

No. 13
GGA-PBE PmZrCd4, relaxed; ΔE to the lowest computed polymorph = 33 kJ/mol of formula units
1.0
5.842 0.000 0.000
2.921 5.059 0.000
2.921 1.686 4.770
Cd Zr Pm
4 1 1
Direct
0.625 0.625 0.124
0.625 0.124 0.625
0.625 0.625 0.625
0.124 0.625 0.625
0.000 0.000 0.000
0.250 0.250 0.250

No. 14
GGA-PBE PmZrCd2, relaxed; ΔE to the lowest computed polymorph = 0 kJ/mol of formula units
1.0
3.619 0.000 0.000
0.000 3.619 0.000
0.000 0.000 7.554
Cd Zr Pm
2 1 1
Direct
0.000 0.000 0.778
0.000 0.000 0.222
0.500 0.500 0.000
0.500 0.500 0.500

No. 15
GGA-PBE PmZr2Cd, relaxed; ΔE to the lowest computed polymorph = 93 kJ/mol of formula units
1.0
3.150 0.000 0.000
1.575 2.728 0.000
1.575 0.909 11.725
Cd Zr Pm
1 2 1
Direct
0.500 0.500 0.500
0.092 0.092 0.723
0.908 0.908 0.277
0.000 0.000 0.000

No. 16
GGA-PBE PmZrCd2, relaxed; ΔE to the lowest computed polymorph = 18 kJ/mol of formula units
1.0
-2.443 0.984 -3.550
3.349 -1.773 -2.796
-2.046 -4.235 0.235
Cd Zr Pm
2 1 1
Direct
0.000 0.000 0.500
0.000 0.500 0.000
0.500 0.000 0.000
0.500 0.500 0.500

No. 17
Computed, not measured: an optimized crystal structure of Pr5Cd6 at the GGA-PBE level of DFT.

Structure (POSCAR):
```
Pr5Cd6
1.0
-5.104 -1.211 -1.583
2.049 0.714 -7.153
3.461 -7.602 4.138
Pr Cd
5 6
Direct
0.000 0.500 0.000
0.662 0.662 0.324
0.338 0.338 0.676
0.320 0.820 0.639
0.680 0.180 0.361
0.500 0.784 0.000
0.500 0.216 0.000
0.849 0.067 0.697
0.849 0.630 0.697
0.151 0.933 0.303
0.151 0.370 0.303
```

No. 18
Computed, not measured: an optimized crystal structure of Pr5Cd3 at the GGA-PBE level of DFT.

Structure (POSCAR):
```
Pr5Cd3
1.0
3.854 0.000 0.000
0.000 3.854 0.000
0.000 0.000 16.780
Pr Cd
5 3
Direct
0.000 0.000 0.233
0.500 0.500 0.618
0.500 0.500 0.382
0.000 0.000 0.767
0.000 0.000 0.000
0.500 0.500 0.118
0.500 0.500 0.882
0.000 0.000 0.500
```

No. 19
GGA-PBE Pr3Cd2, relaxed; ΔE to the lowest computed polymorph = 74 kJ/mol of formula units
1.0
-5.355 -0.061 0.549
3.374 -5.097 5.940
0.631 8.819 7.131
Pr Cd
9 6
Direct
0.826 0.652 0.007
0.174 0.348 0.993
0.841 0.681 0.326
0.159 0.319 0.674
0.167 0.333 0.333
0.833 0.667 0.667
0.493 0.985 0.340
0.507 0.015 0.660
0.500 0.000 0.000
0.673 0.345 0.493
0.327 0.655 0.507
0.661 0.321 0.174
0.339 0.679 0.826
0.006 0.012 0.160
0.994 0.988 0.840

No. 20
GGA-PBE Pr5Cd2, relaxed; ΔE to the lowest computed polymorph = 0 kJ/mol of formula units
1.0
6.028 0.000 0.000
-3.014 7.937 -1.099
0.000 0.141 9.288
Pr Cd
10 4
Direct
0.662 0.737 0.541
0.925 0.263 0.959
0.893 0.456 0.323
0.438 0.544 0.177
0.107 0.544 0.677
0.562 0.456 0.823
0.075 0.737 0.041
0.338 0.263 0.459
0.208 0.000 0.750
0.792 0.000 0.250
0.759 0.147 0.604
0.613 0.853 0.896
0.241 0.853 0.396
0.387 0.147 0.104

No. 21
Computed, not measured: an optimized crystal structure of Pr2Cd17 at the GGA-PBE level of DFT.

Structure (POSCAR):
```
Pr2Cd17
1.0
-4.001 2.942 5.865
-7.037 -1.319 -2.790
-1.365 -6.584 3.720
Pr Cd
2 17
Direct
0.331 0.331 0.331
0.669 0.669 0.669
0.641 0.641 0.162
0.162 0.641 0.641
0.899 0.899 0.899
0.101 0.101 0.101
0.000 0.000 0.500
0.000 0.500 0.000
0.500 0.000 0.000
0.300 0.700 0.000
0.700 0.000 0.300
0.000 0.300 0.700
0.700 0.300 0.000
0.300 0.000 0.700
0.000 0.700 0.300
0.838 0.359 0.359
0.359 0.359 0.838
0.359 0.838 0.359
0.641 0.162 0.641
```

No. 22
GGA-PBE Pr5Cd, relaxed; ΔE to the lowest computed polymorph = 27 kJ/mol of formula units
1.0
-5.019 -0.148 0.863
-0.093 -4.843 -1.372
1.387 0.292 8.113
Pr Cd
5 1
Direct
0.500 0.835 0.669
0.000 0.663 0.326
0.500 0.500 0.000
0.000 0.337 0.674
0.500 0.165 0.331
0.000 0.000 0.000

No. 23
Computed, not measured: an optimized crystal structure of PrCd3 at the GGA-PBE level of DFT.

Structure (POSCAR):
```
PrCd3
1.0
-3.864 1.703 -2.084
-1.789 -4.362 -0.247
-2.021 0.590 4.228
Pr Cd
1 3
Direct
0.000 0.500 0.417
0.000 0.000 0.917
0.500 0.000 0.417
0.500 0.500 0.917
```

No. 24
Computed, not measured: an optimized crystal structure of Pr3Cd7 at the GGA-PBE level of DFT.

Structure (POSCAR):
```
Pr3Cd7
1.0
-4.093 2.473 -1.467
-1.129 -4.642 -4.675
-1.645 -2.741 8.496
Pr Cd
3 7
Direct
0.000 0.000 0.000
0.208 0.779 0.416
0.792 0.221 0.584
0.000 0.500 0.000
0.197 0.289 0.394
0.803 0.711 0.606
0.416 0.179 0.833
0.584 0.821 0.167
0.389 0.630 0.778
0.611 0.370 0.222
```

No. 25
GGA-PBE Pr4Cd, relaxed; ΔE to the lowest computed polymorph = 229 kJ/mol of formula units
1.0
5.902 0.000 0.000
0.000 5.902 0.000
0.000 0.000 5.902
Pr Cd
4 1
Direct
0.000 0.000 0.000
0.500 0.000 0.500
0.000 0.500 0.500
0.500 0.500 0.000
0.500 0.500 0.500

Number 1: E_tot -3.47 eV/atom. Number 2: E_tot -2.58 eV/atom. Number 3: E_tot -2.38 eV/atom. Number 4: E_tot -2.78 eV/atom. Number 5: E_tot -4.00 eV/atom. Number 6: E_tot -3.46 eV/atom. Number 7: E_tot -2.51 eV/atom. Number 8: E_tot -5.67 eV/atom. Number 9: E_tot -2.85 eV/atom. Number 10: E_tot -3.80 eV/atom. Number 11: E_tot -3.90 eV/atom. Number 12: E_tot -3.01 eV/atom. Number 13: E_tot -2.95 eV/atom. Number 14: E_tot -3.94 eV/atom. Number 15: E_tot -5.43 eV/atom. Number 16: E_tot -3.89 eV/atom. Number 17: E_tot -2.88 eV/atom. Number 18: E_tot -3.56 eV/atom. Number 19: E_tot -3.33 eV/atom. Number 20: E_tot -3.82 eV/atom. Number 21: E_tot -1.49 eV/atom. Number 22: E_tot -4.19 eV/atom. Number 23: E_tot -2.13 eV/atom. Number 24: E_tot -2.36 eV/atom. Number 25: E_tot -3.65 eV/atom.